VASP calculation (PBE with a Hubbard U) on a geometry-optimized AlCrPdO6 structure.

Cell and atoms, written as POSCAR:
```
AlCrPdO6
1.0
-4.181 -1.598 0.406
1.334 -2.626 3.395
-1.935 6.541 5.820
O Pd Al Cr
12 2 2 2
direct
0.800 0.200 0.840 O
0.700 0.700 0.340 O
0.812 0.188 0.168 O
0.300 0.300 0.340 O
0.698 0.698 0.992 O
0.802 0.198 0.492 O
0.688 0.688 0.668 O
0.198 0.802 0.492 O
0.188 0.812 0.168 O
0.312 0.312 0.668 O
0.200 0.800 0.840 O
0.302 0.302 0.992 O
0.000 0.000 0.666 Pd
0.500 0.500 0.166 Pd
0.500 0.500 0.833 Al
0.000 0.000 0.333 Al
0.500 0.500 0.501 Cr
0.000 0.000 0.001 Cr
```

Computed properties:
**Total moment**: 0.99 μB/f.u.
**Calculated total energy**: -117.70 eV/cell